Entry from Alexandria via LeMat-Bulk: a relaxed Y2Pt crystal (PBE-GGA).

## Properties
Calculated formation energy, eV/f.u.: -0.70
DFT total energy, eV/cell: -19.67
Density of states at the Fermi level, states/eV per atom: 1.04

abc: 4.989 4.989 3.055
angles: 90.00 90.00 120.00
Fractional positions:
Y1 0.333 0.667 0.000
Y2 0.667 0.333 0.000
Pt1 0.000 0.000 0.500


Entry from Alexandria via LeMat-Bulk: a relaxed Y6Pt23 crystal (PBE-GGA).

## Properties
Calculated formation energy, eV/f.u.: -21.53
DFT total energy, eV/cell: -199.25
Density of states at the Fermi level, states/eV per atom: 0.81

abc: 9.121 9.121 9.121
angles: 60.00 60.00 60.00
Fractional positions:
Y1 0.219 0.219 0.781
Y2 0.219 0.781 0.219
Y3 0.219 0.781 0.781
Y4 0.781 0.219 0.219
Y5 0.781 0.219 0.781
Y6 0.781 0.781 0.219
Pt1 0.000 0.000 0.500
Pt2 0.000 0.500 0.000
Pt3 0.000 0.500 0.500
Pt4 0.138 0.621 0.621
Pt5 0.167 0.167 0.167
Pt6 0.167 0.167 0.500
Pt7 0.167 0.500 0.167
Pt8 0.379 0.379 0.379
Pt9 0.379 0.379 0.862
Pt10 0.379 0.862 0.379
Pt11 0.500 0.000 0.000
Pt12 0.500 0.000 0.500
Pt13 0.500 0.167 0.167
Pt14 0.500 0.500 0.000
Pt15 0.500 0.500 0.500
Pt16 0.500 0.833 0.833
Pt17 0.621 0.138 0.621
Pt18 0.621 0.621 0.138
Pt19 0.621 0.621 0.621
Pt20 0.833 0.500 0.833
Pt21 0.833 0.833 0.500
Pt22 0.833 0.833 0.833
Pt23 0.862 0.379 0.379


Q: What is the DFT total energy in the first record?
A: -19.67 eV/cell


Q: Among the records above, which one has the highest DFT total energy?
A: Y2Pt


Q: What is the DFT total energy in the second record?
A: -199.25 eV/cell


Q: Which value of DFT total energy does entry 2 give?
A: -199.25 eV/cell